[1]
Material: Hf31HgO64
Method: DFT, PBE-GGA
State: relaxed

Computed properties:
- E above lowest polymorph (meV per atom) = 0
- DFT total energy (eV per cell) = -954.10
- volume (Å³ per cell) = 1098.8
- crystal system = triclinic

a = 10.2037 Å, b = 10.3541 Å, c = 10.5393 Å
α = 89.97°, β = 80.68°, γ = 89.89°
Closest atoms and distances in Å follow each position.
Space group P1 (No. 1)
Symmetry-distinct sites (fractional):
Hf: 0.0000 0.0000 0.0000  7 O 2.03-2.24
Hf: 0.0001 0.2087 0.2481  7 O 2.04-2.24
Hf: 0.9997 0.5000 0.9977  7 O 2.04-2.24
Hf: 0.9998 0.7086 0.7487  7 O 2.03-2.23
Hf: 0.0006 0.7079 0.2469  7 O 2.04-2.23
Hf: 0.0023 0.0026 0.4980  7 O 2.03-2.24
Hf: 0.0024 0.2106 0.7485  7 O 2.04-2.26
Hf: 0.0016 0.4995 0.4978  7 O 2.04-2.22
Hf: 0.2750 0.9582 0.7916  7 O 2.04-2.23
Hf: 0.2763 0.2501 0.0401  7 O 2.03-2.23
Hf: 0.2764 0.7476 0.0410  7 O 2.05-2.22
Hf: 0.2768 0.4585 0.2903  7 O 2.04-2.23
Hf: 0.2765 0.7494 0.5405  7 O 2.04-2.25
Hf: 0.2772 0.9578 0.2904  7 O 2.04-2.24
Hf: 0.2780 0.2503 0.5417  7 O 2.04-2.25
Hf: 0.2792 0.4609 0.7921  7 O 2.06-2.26
Hf: 0.4973 0.4972 0.4982  7 O 2.05-2.21
Hf: 0.4969 0.5017 0.9998  7 O 2.05-2.24
Hf: 0.4992 0.9990 0.9994  7 O 2.05-2.23
Hf: 0.5003 0.2080 0.7495  7 O 2.05-2.24
Hf: 0.4996 0.2085 0.2474  7 O 2.04-2.24
Hf: 0.5002 0.7092 0.2496  7 O 2.04-2.23
Hf: 0.5017 0.0025 0.4972  7 O 2.03-2.26
Hf: 0.7753 0.2520 0.0403  7 O 2.03-2.24
Hf: 0.7760 0.7499 0.0402  7 O 2.04-2.25
Hf: 0.7770 0.2503 0.5406  7 O 2.03-2.25
Hf: 0.7773 0.4579 0.2902  7 O 2.04-2.23
Hf: 0.7772 0.9588 0.2899  7 O 2.04-2.23
Hf: 0.7788 0.4585 0.7889  7 O 2.04-2.23
Hf: 0.7805 0.9644 0.7938  6 O 2.03-2.17
Hf: 0.7853 0.7516 0.5347  7 O 2.04-2.23
Hg: 0.5096 0.7174 0.7407  6 O 2.13-2.34
O: 0.1008 0.6472 0.0656  3 Hf 2.04-2.11
O: 0.1023 0.0620 0.8163  3 Hf 2.04-2.14
O: 0.1022 0.5611 0.8149  3 Hf 2.03-2.13
O: 0.1020 0.6488 0.5636  3 Hf 2.04-2.15
O: 0.1033 0.1462 0.0663  3 Hf 2.03-2.13
O: 0.1039 0.0624 0.3154  3 Hf 2.04-2.13
O: 0.1035 0.5608 0.3144  3 Hf 2.04-2.14
O: 0.1046 0.1483 0.5656  3 Hf 2.03-2.14
O: 0.1703 0.3937 0.9731  3 Hf 2.03-2.16
O: 0.1719 0.8960 0.9746  3 Hf 2.04-2.14
O: 0.1734 0.3116 0.2236  3 Hf 2.04-2.14
O: 0.1734 0.8112 0.2243  3 Hf 2.04-2.15
O: 0.1732 0.8112 0.7235  3 Hf 2.04-2.14
O: 0.1749 0.3128 0.7236  3 Hf 2.04-2.13
O: 0.1752 0.3976 0.4738  3 Hf 2.04-2.14
O: 0.1745 0.8982 0.4734  3 Hf 2.04-2.13
O: 0.3502 0.5986 0.9164  3 Hf 2.09-2.14
O: 0.3561 0.5962 0.6479  3 Hf 2.12-2.21, 1 Hg 2.34
O: 0.3619 0.1001 0.1548  4 Hf 2.14-2.23
O: 0.3616 0.1018 0.6552  4 Hf 2.16-2.26
O: 0.3617 0.1076 0.9049  4 Hf 2.14-2.24
O: 0.3623 0.6014 0.1580  4 Hf 2.12-2.23
O: 0.3619 0.6083 0.4036  4 Hf 2.14-2.23
O: 0.3626 0.1091 0.4042  4 Hf 2.14-2.24
O: 0.4081 0.8527 0.8912  3 Hf 2.14-2.19, 1 Hg 2.24
O: 0.4106 0.8660 0.6326  3 Hf 2.11-2.21, 1 Hg 2.25
O: 0.4145 0.3478 0.8856  4 Hf 2.12-2.24
O: 0.4138 0.3585 0.1350  4 Hf 2.14-2.23
O: 0.4151 0.8582 0.1361  4 Hf 2.13-2.22
O: 0.4159 0.3504 0.3847  4 Hf 2.14-2.25
O: 0.4156 0.8506 0.3849  4 Hf 2.13-2.25
O: 0.4170 0.3570 0.6356  4 Hf 2.12-2.26
O: 0.5998 0.5515 0.8159  2 Hf 2.04-2.11, 1 Hg 2.16
O: 0.6020 0.0570 0.8139  3 Hf 2.04-2.15
O: 0.6023 0.1482 0.0641  3 Hf 2.05-2.14
O: 0.6024 0.6479 0.0657  3 Hf 2.04-2.14
O: 0.6040 0.0624 0.3142  3 Hf 2.04-2.13
O: 0.6037 0.1474 0.5656  3 Hf 2.03-2.15
O: 0.6037 0.5616 0.3164  3 Hf 2.04-2.15
O: 0.6115 0.6444 0.5510  2 Hf 2.05-2.08, 1 Hg 2.23
O: 0.6724 0.3131 0.2224  3 Hf 2.04-2.13
O: 0.6732 0.3984 0.9721  3 Hf 2.03-2.15
O: 0.6736 0.3955 0.4728  3 Hf 2.03-2.14
O: 0.6744 0.8116 0.2241  3 Hf 2.04-2.14
O: 0.6744 0.8986 0.9743  3 Hf 2.04-2.14
O: 0.6750 0.8975 0.4743  3 Hf 2.04-2.15
O: 0.6761 0.3086 0.7247  3 Hf 2.05-2.13
O: 0.6997 0.8074 0.7216  2 Hf 2.03-2.10, 1 Hg 2.13
O: 0.8613 0.1008 0.1549  4 Hf 2.13-2.24
O: 0.8606 0.5999 0.1540  4 Hf 2.13-2.24
O: 0.8610 0.6087 0.9035  4 Hf 2.13-2.23
O: 0.8623 0.1086 0.4046  4 Hf 2.13-2.24
O: 0.8623 0.1101 0.9057  4 Hf 2.13-2.26
O: 0.8641 0.1014 0.6549  4 Hf 2.12-2.24
O: 0.8638 0.5990 0.6522  4 Hf 2.13-2.23
O: 0.8640 0.6079 0.4023  4 Hf 2.11-2.23
O: 0.9142 0.3581 0.1342  4 Hf 2.14-2.23
O: 0.9144 0.8583 0.1348  4 Hf 2.13-2.23
O: 0.9146 0.3509 0.8839  4 Hf 2.13-2.24
O: 0.9155 0.3506 0.3841  4 Hf 2.13-2.25
O: 0.9162 0.3580 0.6336  4 Hf 2.13-2.23
O: 0.9163 0.8512 0.8851  4 Hf 2.14-2.25
O: 0.9172 0.8511 0.3832  4 Hf 2.14-2.24
O: 0.9200 0.8595 0.6325  4 Hf 2.13-2.30, 1 O 2.36

---

[2]
Material: HfHgO3
Method: DFT, PBE-GGA
State: relaxed

Computed properties:
- DFT total energy (eV per cell) = -35.02
- volume (Å³ per cell) = 69.1
- crystal system = tetragonal

a = 4.0804 Å, b = 4.0804 Å, c = 4.1497 Å
α = 90.00°, β = 90.00°, γ = 90.00°
Closest atoms and distances in Å follow each position.
Space group P4mm (No. 99)
Symmetry-distinct sites (fractional):
Hf: 0.0000 0.0000 0.0000  6 O 1.99-2.16
Hg: 0.5000 0.5000 0.6021  4 O 2.49
O: 0.0000 0.0000 0.4796  2 Hf 1.99-2.16
O: 0.0000 0.5000 0.9468  2 Hf 2.05